1.
Ta5Nb6Rh | PBE-GGA | relaxed

Calculated values
Volume ... 17.865 A^3/atom
Calculated total energy ... -128.3 eV for the cell shown
D(E_F) ... 1.13 states/eV per atom

a = 4.655 Å, b = 6.610 Å, c = 7.340 Å
α = 90.00°, β = 108.35°, γ = 90.00°
Positions (direct):
Ta (0.000, 0.000, 0.000)
Ta (0.332, 0.500, 0.665)
Ta (0.335, 0.000, 0.669)
Ta (0.665, 0.000, 0.331)
Ta (0.668, 0.500, 0.335)
Nb (0.166, 0.251, 0.332)
Nb (0.166, 0.749, 0.332)
Nb (0.500, 0.251, 0.000)
Nb (0.500, 0.749, 0.000)
Nb (0.834, 0.251, 0.668)
Nb (0.834, 0.749, 0.668)
Rh (0.000, 0.500, 0.000)

2.
Ta6NbRh2 | PBE-GGA | relaxed

Calculated values
Volume ... 17.669 A^3/atom
Calculated total energy ... -193.1 eV for the cell shown
D(E_F) ... 0.93 states/eV per atom

a = 7.682 Å, b = 7.682 Å, c = 5.447 Å
α = 95.23°, β = 95.23°, γ = 93.52°
Positions (direct):
Ta (0.078, 0.443, 0.221)
Ta (0.166, 0.791, 0.502)
Ta (0.209, 0.834, 0.998)
Ta (0.249, 0.452, 0.720)
Ta (0.443, 0.078, 0.721)
Ta (0.452, 0.249, 0.220)
Ta (0.548, 0.751, 0.780)
Ta (0.557, 0.922, 0.279)
Ta (0.751, 0.548, 0.280)
Ta (0.791, 0.166, 0.002)
Ta (0.834, 0.209, 0.498)
Ta (0.922, 0.557, 0.779)
Nb (0.409, 0.591, 0.250)
Nb (0.591, 0.409, 0.750)
Rh (0.113, 0.154, 0.864)
Rh (0.154, 0.113, 0.364)
Rh (0.846, 0.887, 0.636)
Rh (0.887, 0.846, 0.136)